Material: AcNdBi4
Method: DFT, PBE-GGA
State: relaxed

a b c (Å): 6.639 6.639 6.639
angles (deg): 60.00 60.00 60.00
Fractional positions:
Ac 0.000 0.000 0.000
Nd 0.750 0.750 0.750
Bi 0.375 0.375 0.375
Bi 0.375 0.375 0.874
Bi 0.375 0.874 0.375
Bi 0.874 0.375 0.375

Spin magnetization (μB per cell): 0.0
E (eV per atom): -4.365
ΔH_f (0 K) (eV/atom): -0.30
Calculated density (kg/m3): 9687

Material: Cr3TcC
Method: DFT, PBE-GGA
State: relaxed

a b c (Å): 3.842 3.842 3.842
angles (deg): 90.00 90.00 90.00
Fractional positions:
Cr 0.000 0.000 0.500
Cr 0.000 0.500 0.000
Cr 0.500 0.000 0.000
Tc 0.500 0.500 0.500
C 0.000 0.000 0.000

Spin magnetization (μB per cell): 0.0
E (eV per atom): -9.612
Relative energy among the computed polymorphs (kJ per mole of atoms): 0.00
ΔH_f (0 K) (eV/atom): 0.08
Calculated density (kg/m3): 7788

Material: Tm12CuSn6
Method: DFT, PBE-GGA
State: relaxed

a b c (Å): 8.520 8.520 8.520
angles (deg): 99.77 99.77 99.77
Fractional positions:
Tm 0.020 0.943 0.687
Tm 0.057 0.313 0.980
Tm 0.198 0.554 0.421
Tm 0.313 0.980 0.057
Tm 0.421 0.198 0.554
Tm 0.446 0.579 0.802
Tm 0.554 0.421 0.198
Tm 0.579 0.802 0.446
Tm 0.687 0.020 0.943
Tm 0.802 0.446 0.579
Tm 0.943 0.687 0.020
Tm 0.980 0.057 0.313
Cu 0.000 0.000 0.000
Sn 0.121 0.311 0.637
Sn 0.311 0.637 0.121
Sn 0.363 0.879 0.689
Sn 0.637 0.121 0.311
Sn 0.689 0.363 0.879
Sn 0.879 0.689 0.363

Spin magnetization (μB per cell): 0.0
E (eV per atom): -4.608
ΔH_f (0 K) (eV/atom): -0.30
Calculated density (kg/m3): 7917

Material: Tb2Y5Tm6
Method: DFT, PBE-GGA
State: relaxed

a b c (Å): 11.538 20.132 3.558
angles (deg): 90.00 90.00 90.00
Fractional positions:
Tb 0.168 0.210 0.000
Tb 0.332 0.710 0.000
Tb 0.668 0.290 0.000
Tb 0.832 0.790 0.000
Y 0.000 0.500 0.500
Y 0.089 0.774 0.500
Y 0.198 0.050 0.500
Y 0.302 0.550 0.500
Y 0.411 0.274 0.500
Y 0.500 0.000 0.500
Y 0.589 0.726 0.500
Y 0.698 0.450 0.500
Y 0.802 0.950 0.500
Y 0.911 0.226 0.500
Tm 0.061 0.920 0.000
Tm 0.082 0.632 0.000
Tm 0.173 0.365 0.500
Tm 0.327 0.865 0.500
Tm 0.418 0.132 0.000
Tm 0.439 0.420 0.000
Tm 0.561 0.580 0.000
Tm 0.582 0.868 0.000
Tm 0.673 0.135 0.500
Tm 0.827 0.635 0.500
Tm 0.918 0.368 0.000
Tm 0.939 0.080 0.000

Spin magnetization (μB per cell): 0.0
E (eV per atom): -5.159
ΔH_f (0 K) (eV/atom): 0.10
Calculated density (kg/m3): 7137

Material: FeAgH3
Method: DFT, PBE-GGA
State: relaxed

a b c (Å): 3.378 3.378 3.378
angles (deg): 90.00 90.00 90.00
Fractional positions:
Fe 0.000 0.000 0.000
Ag 0.500 0.500 0.500
H 0.000 0.000 0.500
H 0.000 0.500 0.000
H 0.500 0.000 0.000

Spin magnetization (μB per cell): 1.6
E (eV per atom): -3.974
Relative energy among the computed polymorphs (kJ per mole of atoms): 0.00
Calculated density (kg/m3): 7180

Material: Sm2GdDy
Method: DFT, PBE-GGA
State: relaxed

a b c (Å): 5.083 5.083 5.080
angles (deg): 90.00 90.00 90.00
Fractional positions:
Sm 0.000 0.500 0.000
Sm 0.500 0.000 0.000
Gd 0.000 0.000 0.500
Dy 0.500 0.500 0.500

Spin magnetization (μB per cell): 7.2
E (eV per atom): -7.016
Relative energy among the computed polymorphs (kJ per mole of atoms): 0.00
ΔH_f (0 K) (eV/atom): 0.01
Calculated density (kg/m3): 7851

Material: RbNpGaS4
Method: DFT, PBE-GGA
State: relaxed

a b c (Å): 6.478 6.666 9.192
angles (deg): 90.00 108.85 90.00
Fractional positions:
Rb 0.239 0.250 0.444
Rb 0.761 0.750 0.556
Np 0.276 0.250 0.950
Np 0.724 0.750 0.050
Ga 0.269 0.750 0.162
Ga 0.731 0.250 0.838
S 0.035 0.750 0.918
S 0.065 0.750 0.319
S 0.485 0.509 0.805
S 0.485 0.991 0.805
S 0.515 0.009 0.195
S 0.515 0.491 0.195
S 0.935 0.250 0.681
S 0.965 0.250 0.082

Spin magnetization (μB per cell): 6.0
E (eV per atom): -5.857
Formation energy from raw total energies (kcal/mol of atoms): -24.88
Calculated density (kg/m3): 4601

Material: Ta5NiMo4
Method: DFT, PBE-GGA
State: relaxed

a b c (Å): 3.235 3.235 15.772
angles (deg): 90.00 90.00 90.00
Fractional positions:
Ta 0.000 0.000 0.000
Ta 0.000 0.000 0.205
Ta 0.000 0.000 0.405
Ta 0.000 0.000 0.595
Ta 0.000 0.000 0.795
Ni 0.500 0.500 0.500
Mo 0.500 0.500 0.102
Mo 0.500 0.500 0.309
Mo 0.500 0.500 0.691
Mo 0.500 0.500 0.898

Spin magnetization (μB per cell): 0.0
E (eV per atom): -11.016
ΔH_f (0 K) (eV/atom): -0.18
Calculated density (kg/m3): 13555

Material: KZnCd2
Method: DFT, PBE-GGA
State: relaxed

a b c (Å): 3.267 4.269 7.922
angles (deg): 90.00 90.00 90.00
Fractional positions:
K 0.000 0.000 0.000
Zn 0.500 0.500 0.307
Cd 0.000 0.000 0.461
Cd 0.500 0.500 0.682

Spin magnetization (μB per cell): 0.0
E (eV per atom): -0.993
ΔH_f (0 K) (eV/atom): 0.06
Calculated density (kg/m3): 4950

Material: AcPuCuPt
Method: DFT, PBE-GGA
State: relaxed

a b c (Å): 7.309 7.309 7.309
angles (deg): 90.00 90.00 90.00
Fractional positions:
Ac 0.000 0.000 0.000
Ac 0.000 0.500 0.500
Ac 0.500 0.000 0.500
Ac 0.500 0.500 0.000
Pu 0.000 0.000 0.500
Pu 0.000 0.500 0.000
Pu 0.500 0.000 0.000
Pu 0.500 0.500 0.500
Cu 0.250 0.250 0.750
Cu 0.250 0.750 0.250
Cu 0.750 0.250 0.250
Cu 0.750 0.750 0.750
Pt 0.250 0.250 0.250
Pt 0.250 0.750 0.750
Pt 0.750 0.250 0.750
Pt 0.750 0.750 0.250

Spin magnetization (μB per cell): 23.1
E (eV per atom): -7.534
ΔH_f (0 K) (eV/atom): -0.39
Calculated density (kg/m3): 12410

Material: ZnPt2
Method: DFT, PBE-GGA
State: relaxed

a b c (Å): 2.804 3.510 9.228
angles (deg): 90.00 90.00 90.00
Fractional positions:
Zn 0.000 0.000 0.000
Zn 0.500 0.500 0.500
Pt 0.000 0.000 0.344
Pt 0.000 0.000 0.656
Pt 0.500 0.500 0.156
Pt 0.500 0.500 0.844

Spin magnetization (μB per cell): 0.0
E (eV per atom): -4.772
ΔH_f (0 K) (eV/atom): -0.32
Calculated density (kg/m3): 16662

Material: YFeCl2
Method: DFT, PBE-GGA
State: relaxed

a b c (Å): 3.668 4.396 12.202
angles (deg): 90.00 90.00 90.00
Fractional positions:
Y 0.000 0.000 0.000
Y 0.500 0.500 0.500
Fe 0.000 0.000 0.500
Fe 0.500 0.500 0.000
Cl 0.000 0.500 0.137
Cl 0.000 0.500 0.863
Cl 0.500 0.000 0.363
Cl 0.500 0.000 0.637

Spin magnetization (μB per cell): 3.3
E (eV per atom): -5.375
Formation energy from raw total energies (kcal/mol of atoms): -16.61
Relative energy among the computed polymorphs (kJ per mole of atoms): 9.83
Calculated density (kg/m3): 3640

Values of DOS(E_F), in order: 5.6, 7.2, 17.9, 16.9, 3.1, 6.4, 8.5, 8.3, 1.2, 12.8, 2.4, 3.3, all in states/eV/f.u..